Entry 1:
GGA-PBE RbCdAg, optimized geometry; VASP energy = -1.5436 eV/atom; crystal system = tetragonal; SG = I4mm (107)
1.0
-1.952 1.952 6.411
1.952 -1.952 6.411
1.952 1.952 -6.411
Rb Cd Ag
1 1 1
direct
0.000 0.000 0.000
0.282 0.282 0.000
0.716 0.716 0.000

Entry 2:
GGA-PBE RbCdAg, optimized geometry; VASP energy = -1.5902 eV/atom; crystal system = triclinic; SG = P-1 (2)
1.0
4.700 0.000 0.000
0.008 6.689 0.000
2.336 0.869 6.761
Rb Cd Ag
2 2 2
direct
0.119 0.352 0.261
0.881 0.648 0.739
0.411 0.120 0.677
0.589 0.880 0.323
0.210 0.893 0.079
0.790 0.107 0.921

VASP energy of number 2 (RbCdAg)? -1.5902 eV/atom

Which value of VASP energy does entry 2 give? -1.5902 eV/atom

The highest VASP energy belongs to which entry? number 1